First-principles (PBE) data for a geometry-optimized SmDy2S4 structure, as listed in the Alexandria database.

Total moment   0.00 Bohr magnetons per cell
ΔE to the lowest computed polymorph   0.38 eV/f.u.
E_form (uncorrected)   -2010 meV/atom

a b c (Å): 7.3309 7.3309 7.3309
angles (deg): 107.44 107.44 113.62
Last column: nearest neighbours and their distance in Å.
Element x y z (fractional)
Sm (0.2500, 0.7500, 0.5000)  8 S 2.87-3.01
Sm (0.0000, 0.0000, 0.0000)  8 S 2.87-3.01
Dy (0.4553, 0.8750, 0.0803)  6 S 2.74-2.84
Dy (0.7947, 0.3750, 0.9197)  6 S 2.74-2.84
Dy (0.1250, 0.2053, 0.5803)  6 S 2.74-2.84
Dy (0.6250, 0.5447, 0.4197)  6 S 2.74-2.84
S (0.9994, 0.6183, 0.7427)  3 Dy 2.74-2.84, 2 Sm 2.87-3.01
S (0.5067, 0.6256, 0.7573)  3 Dy 2.74-2.84, 2 Sm 2.87-3.01
S (0.8683, 0.7494, 0.2427)  3 Dy 2.74-2.84, 2 Sm 2.87-3.01
S (0.7433, 0.0006, 0.6189)  3 Dy 2.74-2.84, 2 Sm 2.87-3.01
S (0.8756, 0.2567, 0.2573)  3 Dy 2.74-2.84, 2 Sm 2.87-3.01
S (0.3744, 0.1317, 0.8811)  3 Dy 2.74-2.84, 2 Sm 2.87-3.01
S (0.3817, 0.1244, 0.3811)  3 Dy 2.74-2.84, 2 Sm 2.87-3.01
S (0.2506, 0.4933, 0.1189)  3 Dy 2.74-2.84, 2 Sm 2.87-3.01